Computed, not measured: a relaxed Nd4Dy9Cd11 crystal at the PBE level of DFT.

Output
Calculated density (g/cm3): 8.34
Calculated formation energy (eV per atom): -0.237
Energy (eV/cell): -152.47

Cell and atoms, written as CIF:
```
data_Nd4Dy9Cd11
_space_group_name_H-M_alt 'C m m m'
_space_group_IT_number 65
_space_group_name_Hall '-C 2 2'
_cell_length_a 16.1429
_cell_length_b 22.9317
_cell_length_c 3.5237
_cell_angle_alpha 90.00
_cell_angle_beta 90.00
_cell_angle_gamma 90.00
loop_
_atom_site_label
_atom_site_fract_x
_atom_site_fract_y
_atom_site_fract_z
Nd1 0.1674 0.0829 0.0000
Dy1 0.0000 0.0000 0.0000
Dy2 0.1099 0.4036 0.0000
Dy3 0.1149 0.2296 0.0000
Cd1 0.0000 0.1306 0.5000
Cd2 0.0000 0.3153 0.5000
Cd3 0.0000 0.5000 0.5000
Cd4 0.2023 0.5000 0.5000
Cd5 0.2276 0.3172 0.5000
```